1.
# TaAg (PBE-GGA, relaxed)
# Formation enthalpy at 0 K: 395 meV/atom
# Space group: P4/mmm, No. 123
# Energy: -0.51129 Ry/atom
# Crystal system: tetragonal
# Magnetic moment: 0.000 μB/f.u.
data_TaAg
_chemical_formula_sum 'Ta1 Ag1'
_cell_length_a 2.848
_cell_length_b 2.848
_cell_length_c 4.360
_cell_angle_alpha 90.00
_cell_angle_beta 90.00
_cell_angle_gamma 90.00
_space_group_name_H-M_alt 'P 1'
_space_group_IT_number 1
loop_
_space_group_symop_operation_xyz
'x,y,z'
loop_
_atom_site_label
_atom_site_type_symbol
_atom_site_fract_x
_atom_site_fract_y
_atom_site_fract_z
_atom_site_occupancy
Ta1 Ta 0.000 0.000 0.000 1
Ag1 Ag 0.500 0.500 0.500 1


2.
# TaAg2 (PBE-GGA, relaxed)
# Formation enthalpy at 0 K: 1390 meV/atom
# Space group: Pa-3, No. 205
# Energy: -0.32792 Ry/atom
# Crystal system: cubic
# Magnetic moment: 0.002 μB/f.u.
data_TaAg2
_chemical_formula_sum 'Ta4 Ag8'
_cell_length_a 6.431
_cell_length_b 6.431
_cell_length_c 6.431
_cell_angle_alpha 90.00
_cell_angle_beta 90.00
_cell_angle_gamma 90.00
_space_group_name_H-M_alt 'P 1'
_space_group_IT_number 1
loop_
_space_group_symop_operation_xyz
'x,y,z'
loop_
_atom_site_label
_atom_site_type_symbol
_atom_site_fract_x
_atom_site_fract_y
_atom_site_fract_z
_atom_site_occupancy
Ta1 Ta 0.000 0.000 0.000 1
Ta2 Ta 0.000 0.500 0.500 1
Ta3 Ta 0.500 0.000 0.500 1
Ta4 Ta 0.500 0.500 0.000 1
Ag1 Ag 0.123 0.623 0.877 1
Ag2 Ag 0.123 0.877 0.377 1
Ag3 Ag 0.377 0.123 0.877 1
Ag4 Ag 0.377 0.377 0.377 1
Ag5 Ag 0.623 0.623 0.623 1
Ag6 Ag 0.623 0.877 0.123 1
Ag7 Ag 0.877 0.123 0.623 1
Ag8 Ag 0.877 0.377 0.123 1


3.
# Ta2Ag (PBE-GGA, relaxed)
# Formation enthalpy at 0 K: 309 meV/atom
# Space group: Pnma, No. 62
# Energy: -0.62795 Ry/atom
# Crystal system: orthorhombic
# Magnetic moment: 0.000 μB/f.u.
data_Ta2Ag
_chemical_formula_sum 'Ta8 Ag4'
_cell_length_a 5.927
_cell_length_b 4.063
_cell_length_c 8.944
_cell_angle_alpha 90.00
_cell_angle_beta 90.00
_cell_angle_gamma 90.00
_space_group_name_H-M_alt 'P 1'
_space_group_IT_number 1
loop_
_space_group_symop_operation_xyz
'x,y,z'
loop_
_atom_site_label
_atom_site_type_symbol
_atom_site_fract_x
_atom_site_fract_y
_atom_site_fract_z
_atom_site_occupancy
Ta1 Ta 0.108 0.250 0.084 1
Ta2 Ta 0.142 0.250 0.750 1
Ta3 Ta 0.358 0.750 0.250 1
Ta4 Ta 0.392 0.750 0.584 1
Ta5 Ta 0.608 0.250 0.416 1
Ta6 Ta 0.642 0.250 0.750 1
Ta7 Ta 0.858 0.750 0.250 1
Ta8 Ta 0.892 0.750 0.916 1
Ag1 Ag 0.110 0.250 0.420 1
Ag2 Ag 0.390 0.750 0.920 1
Ag3 Ag 0.610 0.250 0.080 1
Ag4 Ag 0.890 0.750 0.580 1


4.
# TaAg (PBE-GGA, relaxed)
# Formation enthalpy at 0 K: 1580 meV/atom
# Space group: I-43m, No. 217
# Energy: -0.42425 Ry/atom
# Crystal system: cubic
# Magnetic moment: 0.109 μB/f.u.
data_TaAg
_chemical_formula_sum 'Ta8 Ag8'
_cell_length_a 8.448
_cell_length_b 8.448
_cell_length_c 8.448
_cell_angle_alpha 90.00
_cell_angle_beta 90.00
_cell_angle_gamma 90.00
_space_group_name_H-M_alt 'P 1'
_space_group_IT_number 1
loop_
_space_group_symop_operation_xyz
'x,y,z'
loop_
_atom_site_label
_atom_site_type_symbol
_atom_site_fract_x
_atom_site_fract_y
_atom_site_fract_z
_atom_site_occupancy
Ta1 Ta 0.111 0.111 0.889 1
Ta2 Ta 0.111 0.889 0.111 1
Ta3 Ta 0.389 0.389 0.389 1
Ta4 Ta 0.389 0.611 0.611 1
Ta5 Ta 0.611 0.389 0.611 1
Ta6 Ta 0.611 0.611 0.389 1
Ta7 Ta 0.889 0.111 0.111 1
Ta8 Ta 0.889 0.889 0.889 1
Ag1 Ag 0.200 0.200 0.200 1
Ag2 Ag 0.200 0.800 0.800 1
Ag3 Ag 0.300 0.300 0.700 1
Ag4 Ag 0.300 0.700 0.300 1
Ag5 Ag 0.700 0.300 0.300 1
Ag6 Ag 0.700 0.700 0.700 1
Ag7 Ag 0.800 0.200 0.800 1
Ag8 Ag 0.800 0.800 0.200 1


5.
# Ta3Ag4 (PBE-GGA, relaxed)
# Formation enthalpy at 0 K: 371 meV/atom
# Space group: I4/mmm, No. 139
# Energy: -0.46585 Ry/atom
# Crystal system: tetragonal
# Magnetic moment: 0.000 μB/f.u.
data_Ta3Ag4
_chemical_formula_sum 'Ta6 Ag8'
_cell_length_a 3.410
_cell_length_b 3.410
_cell_length_c 21.561
_cell_angle_alpha 90.00
_cell_angle_beta 90.00
_cell_angle_gamma 90.00
_space_group_name_H-M_alt 'P 1'
_space_group_IT_number 1
loop_
_space_group_symop_operation_xyz
'x,y,z'
loop_
_atom_site_label
_atom_site_type_symbol
_atom_site_fract_x
_atom_site_fract_y
_atom_site_fract_z
_atom_site_occupancy
Ta1 Ta 0.000 0.000 0.000 1
Ta2 Ta 0.000 0.000 0.282 1
Ta3 Ta 0.000 0.000 0.718 1
Ta4 Ta 0.500 0.500 0.218 1
Ta5 Ta 0.500 0.500 0.500 1
Ta6 Ta 0.500 0.500 0.782 1
Ag1 Ag 0.000 0.000 0.140 1
Ag2 Ag 0.000 0.000 0.428 1
Ag3 Ag 0.000 0.000 0.572 1
Ag4 Ag 0.000 0.000 0.860 1
Ag5 Ag 0.500 0.500 0.072 1
Ag6 Ag 0.500 0.500 0.360 1
Ag7 Ag 0.500 0.500 0.640 1
Ag8 Ag 0.500 0.500 0.928 1


6.
# Ta3Ag (PBE-GGA, relaxed)
# Formation enthalpy at 0 K: 267 meV/atom
# Space group: P4/mmm, No. 123
# Energy: -0.68616 Ry/atom
# ΔE to the lowest computed polymorph: 150 meV per atom
# Crystal system: tetragonal
# Magnetic moment: 0.000 μB/f.u.
data_Ta3Ag
_chemical_formula_sum 'Ta3 Ag1'
_cell_length_a 4.404
_cell_length_b 4.404
_cell_length_c 3.700
_cell_angle_alpha 90.00
_cell_angle_beta 90.00
_cell_angle_gamma 90.00
_space_group_name_H-M_alt 'P 1'
_space_group_IT_number 1
loop_
_space_group_symop_operation_xyz
'x,y,z'
loop_
_atom_site_label
_atom_site_type_symbol
_atom_site_fract_x
_atom_site_fract_y
_atom_site_fract_z
_atom_site_occupancy
Ta1 Ta 0.000 0.000 0.000 1
Ta2 Ta 0.000 0.500 0.500 1
Ta3 Ta 0.500 0.000 0.500 1
Ag1 Ag 0.500 0.500 0.000 1